No. 1
Entry from Alexandria: a relaxed structure of La6Nd2Sc (PBE).

Cell lengths 7.5013, 7.5013, 7.9417 Å; angles 61.82, 61.82, 60.00 degrees
Sites, in units of the cell vectors:
Sc 0.3204 0.3204 0.0388
Nd 0.5810 0.5810 0.2570
Nd 0.7472 0.7472 0.7584
La 0.2573 0.2574 0.7023
La 0.7830 0.2573 0.7023
La 0.0472 0.0471 0.2806
La 0.0471 0.6250 0.2806
La 0.6250 0.0472 0.2806
La 0.2574 0.7830 0.7023

## Properties
For the density of states at the Fermi level, the calculation gives 12.66 states/eV/cell. The value obtained for the spin magnetization is 0.000 μB per atom. The calculation puts the formation energy at 0.291 eV per atom. The value obtained for the energy above the most stable polymorph in this dataset is 24.8 kJ per mole of atoms.

No. 2
Entry from Alexandria: a relaxed structure of La7Nd2Sc2 (PBE).

Cell lengths 10.2004, 6.6413, 6.6413 Å; angles 115.83, 100.79, 100.79 degrees
Sites, in units of the cell vectors:
Nd 0.7228 0.4823 0.4823
Nd 0.2772 0.5177 0.5177
La 0.6319 0.8923 0.8923
La 0.0000 0.0000 0.0000
La 0.8396 0.0680 0.5032
La 0.1604 0.4968 0.9320
La 0.3681 0.1077 0.1077
La 0.1604 0.9320 0.4968
La 0.8396 0.5032 0.0680
Sc 0.5000 0.7287 0.2713
Sc 0.5000 0.2713 0.7287

## Properties
For the density of states at the Fermi level, the calculation gives 18.65 states/eV/cell. The value obtained for the spin magnetization is 0.000 μB per atom. The calculation puts the formation energy at 0.145 eV per atom. The value obtained for the energy above the most stable polymorph in this dataset is 1.9 kJ per mole of atoms.

No. 3
Entry from Alexandria: a relaxed structure of LaNd12Sc3 (PBE).

Cell lengths 5.0913, 5.0913, 20.4175 Å; angles 90.00, 90.00, 90.00 degrees
Sites, in units of the cell vectors:
Nd 0.5000 0.0000 0.1317
Nd 0.5000 0.0000 0.8683
Nd 0.0000 0.5000 0.3773
Nd 0.5000 0.0000 0.6227
Nd 0.5000 0.0000 0.3773
Nd 0.5000 0.5000 0.7446
Nd 0.5000 0.5000 0.0000
Nd 0.0000 0.5000 0.8683
Nd 0.5000 0.5000 0.2554
Nd 0.0000 0.5000 0.1317
Nd 0.0000 0.5000 0.6227
Nd 0.5000 0.5000 0.5000
Sc 0.0000 0.0000 0.2541
Sc 0.0000 0.0000 0.7459
Sc 0.0000 0.0000 0.5000
La 0.0000 0.0000 0.0000

## Properties
For the density of states at the Fermi level, the calculation gives 24.33 states/eV/cell. The value obtained for the spin magnetization is 0.000 μB per atom. The calculation puts the formation energy at 0.036 eV per atom.

No. 4
Entry from Alexandria: a relaxed structure of La12Nd5Sc2 (PBE).

Cell lengths 8.0346, 10.3031, 9.7671 Å; angles 66.60, 90.00, 112.95 degrees
Sites, in units of the cell vectors:
La 0.6211 0.7018 0.8557
La 0.0864 0.6916 0.4651
La 0.0807 0.7018 0.8557
La 0.0176 0.0352 0.8214
La 0.3948 0.3084 0.5349
La 0.4806 0.9612 0.6756
La 0.9193 0.2982 0.1443
La 0.9824 0.9648 0.1786
La 0.6052 0.6916 0.4651
La 0.9136 0.3084 0.5349
La 0.5194 0.0388 0.3244
La 0.3789 0.2982 0.1443
Nd 0.7907 0.5814 0.2038
Nd 0.3103 0.6206 0.1898
Nd 0.2093 0.4186 0.7962
Nd 0.6897 0.3794 0.8102
Nd 0.0000 0.0000 0.5000
Sc 0.6736 0.0000 0.0000
Sc 0.3264 0.0000 0.0000

## Properties
For the density of states at the Fermi level, the calculation gives 29.96 states/eV/cell. The value obtained for the spin magnetization is 0.000 μB per atom. The calculation puts the formation energy at 0.151 eV per atom.

No. 5
Entry from Alexandria: a relaxed structure of LaNd7Sc4 (PBE).

Cell lengths 7.1534, 6.1952, 11.3335 Å; angles 79.43, 50.74, 89.88 degrees
Sites, in units of the cell vectors:
Sc 0.4000 0.7290 0.3380
Sc 0.8426 0.7889 0.6582
Sc 0.6000 0.2710 0.6620
Sc 0.1574 0.2111 0.3418
Nd 0.9169 0.7111 0.3415
Nd 0.2693 0.4998 0.9895
Nd 0.0831 0.2889 0.6585
Nd 0.3361 0.7735 0.6625
Nd 0.5000 0.0000 0.0000
Nd 0.7307 0.5002 0.0105
Nd 0.6639 0.2265 0.3375
La 0.0000 0.0000 0.0000

## Properties
For the density of states at the Fermi level, the calculation gives 17.11 states/eV/cell. The value obtained for the spin magnetization is 0.000 μB per atom. The calculation puts the formation energy at 0.040 eV per atom.

No. 6
Entry from Alexandria: a relaxed structure of LaNdSc4 (PBE).

Cell lengths 5.4255, 8.5724, 9.9589 Å; angles 104.94, 89.98, 129.34 degrees
Sites, in units of the cell vectors:
Sc 0.9573 0.2074 0.9168
Sc 0.2087 0.9586 0.4167
Sc 0.0427 0.7926 0.0832
Sc 0.7080 0.4581 0.4167
Sc 0.5406 0.2906 0.0832
Sc 0.2920 0.5419 0.5833
Sc 0.7913 0.0414 0.5833
Sc 0.4594 0.7094 0.9168
Nd 0.1240 0.8740 0.7480
Nd 0.8760 0.1260 0.2520
La 0.6258 0.3758 0.7517
La 0.3742 0.6242 0.2483

## Properties
For the density of states at the Fermi level, the calculation gives 21.96 states/eV/cell. The value obtained for the spin magnetization is 0.000 μB per atom. The calculation puts the formation energy at 0.085 eV per atom.

No. 7
Entry from Alexandria: a relaxed structure of La3Nd7Sc (PBE).

Cell lengths 5.9300, 8.6542, 8.6542 Å; angles 83.14, 109.97, 109.97 degrees
Sites, in units of the cell vectors:
Nd 0.2164 0.2158 0.2158
Nd 0.6936 0.4021 0.9846
Nd 0.3064 0.5979 0.0154
Nd 0.7836 0.7842 0.7842
Nd 0.0000 0.5000 0.5000
Nd 0.3064 0.0154 0.5979
Nd 0.6936 0.9846 0.4021
Sc 0.5000 0.5000 0.5000
La 0.5000 0.0000 0.0000
La 0.0000 0.7894 0.2106
La 0.0000 0.2106 0.7894

## Properties
For the density of states at the Fermi level, the calculation gives 16.45 states/eV/cell. The value obtained for the spin magnetization is 0.007 μB per atom. The calculation puts the formation energy at 0.230 eV per atom.

No. 8
Entry from Alexandria: a relaxed structure of La5Nd5Sc2 (PBE).

Cell lengths 5.1103, 8.1928, 10.8569 Å; angles 72.59, 76.39, 71.83 degrees
Sites, in units of the cell vectors:
Sc 0.9156 0.4184 0.7505
Sc 0.0844 0.5816 0.2495
La 0.6683 0.6640 0.9995
La 0.5000 0.5000 0.5000
La 0.3317 0.3360 0.0005
La 0.4213 0.9083 0.2491
La 0.5787 0.0917 0.7509
Nd 0.0000 0.0000 0.0000
Nd 0.1641 0.1714 0.5004
Nd 0.8359 0.8286 0.4996
Nd 0.2546 0.7431 0.7477
Nd 0.7454 0.2569 0.2523

## Properties
For the density of states at the Fermi level, the calculation gives 20.41 states/eV/cell. The value obtained for the spin magnetization is 0.000 μB per atom. The calculation puts the formation energy at 0.041 eV per atom.

No. 9
Entry from Alexandria: a relaxed structure of La6Nd12Sc (PBE).

Cell lengths 8.7676, 8.7676, 8.7676 Å; angles 89.88, 89.88, 89.88 degrees
Sites, in units of the cell vectors:
Nd 0.5612 0.2172 0.4692
Nd 0.4692 0.5612 0.2172
Nd 0.6392 0.9764 0.8214
Nd 0.3608 0.0236 0.1786
Nd 0.2172 0.4692 0.5612
Nd 0.1786 0.3608 0.0236
Nd 0.9764 0.8214 0.6392
Nd 0.8214 0.6392 0.9764
Nd 0.7828 0.5308 0.4388
Nd 0.0236 0.1786 0.3608
Nd 0.4388 0.7828 0.5308
Nd 0.5308 0.4388 0.7828
La 0.0936 0.7048 0.2649
La 0.9064 0.2952 0.7351
La 0.2952 0.7351 0.9064
La 0.2649 0.0936 0.7048
La 0.7351 0.9064 0.2952
La 0.7048 0.2649 0.0936
Sc 0.0000 0.0000 0.0000

## Properties
For the density of states at the Fermi level, the calculation gives 31.31 states/eV/cell. The value obtained for the spin magnetization is 0.000 μB per atom. The calculation puts the formation energy at 0.115 eV per atom.

No. 10
Entry from Alexandria: a relaxed structure of La8Nd4Sc (PBE).

Cell lengths 11.8980, 11.8980, 7.9125 Å; angles 90.00, 138.75, 120.00 degrees
Each line ends with the local moment (μB).
Sites, in units of the cell vectors:
La 0.1579 0.8282 0.9860  0.01
La 0.8421 0.6703 0.0140  0.01
La 0.4870 0.2435 0.7305  0.10
La 0.1579 0.3297 0.9860  0.01
La 0.8421 0.1718 0.0140  0.01
La 0.6563 0.8282 0.9860  0.01
La 0.5130 0.7565 0.2695  0.10
La 0.3437 0.1718 0.0140  0.01
Nd 0.5000 0.5000 0.0000  0.01
Nd 0.0000 0.5000 0.0000  0.01
Nd 0.0000 0.0000 0.0000  0.13
Nd 0.5000 0.0000 0.0000  0.01
Sc 0.0000 0.5000 0.5000  0.18

## Properties
For the density of states at the Fermi level, the calculation gives 28.34 states/eV/cell. The value obtained for the spin magnetization is 0.074 μB per atom. The calculation puts the formation energy at 0.363 eV per atom.

No. 11
Entry from Alexandria: a relaxed structure of La4Nd3Sc (PBE).

Cell lengths 3.5429, 11.7730, 9.0648 Å; angles 130.52, 101.27, 90.00 degrees
Sites, in units of the cell vectors:
La 0.6303 0.8848 0.2607
La 0.3698 0.6245 0.7395
La 0.3697 0.1152 0.7393
La 0.6302 0.3755 0.2605
Nd 0.0000 0.5000 0.0000
Nd 0.7639 0.7639 0.5278
Nd 0.2361 0.2361 0.4722
Sc 0.5000 0.0000 0.0000

## Properties
For the density of states at the Fermi level, the calculation gives 11.94 states/eV/cell. The value obtained for the spin magnetization is 0.000 μB per atom. The calculation puts the formation energy at 0.107 eV per atom. The value obtained for the energy above the most stable polymorph in this dataset is 0.0 kJ per mole of atoms.

No. 12
Entry from Alexandria: a relaxed structure of La5NdSc (PBE).

Cell lengths 8.7494, 8.7494, 13.3046 Å; angles 46.97, 46.97, 45.37 degrees
Sites, in units of the cell vectors:
La 0.7477 0.7573 0.5892
La 0.7573 0.7477 0.0892
La 0.6672 0.6660 0.9054
La 0.7674 0.2326 0.7500
La 0.3340 0.3328 0.5946
La 0.2523 0.2427 0.4108
La 0.6660 0.6672 0.4054
La 0.3328 0.3340 0.0946
La 0.2326 0.7674 0.2500
La 0.2427 0.2523 0.9108
Nd 0.2346 0.7654 0.7500
Nd 0.7654 0.2346 0.2500
Sc 0.0000 0.0000 0.0000
Sc 0.0000 0.0000 0.5000

## Properties
For the density of states at the Fermi level, the calculation gives 20.23 states/eV/cell. The value obtained for the spin magnetization is 0.000 μB per atom. The calculation puts the formation energy at 0.146 eV per atom. The value obtained for the energy above the most stable polymorph in this dataset is 0.0 kJ per mole of atoms.

> Look up the spin magnetization of the seventh one.

0.007 μB per atom